No. 1
First-principles (PBE with a Hubbard U) data for an optimized crystal structure of La6CoCl3O2, as listed in the Alexandria database.

Cell: 6.575 11.467 7.756 Å, 90.00 106.31 90.00°
Space group C2/m (No. 12)
Symmetry-distinct sites (fractional):
La1 0.207 0.000 0.198 (multiplicity 4)
La2 0.247 0.320 0.200 (multiplicity 8)
Co1 0.000 0.500 0.000 (multiplicity 2)
Cl1 0.000 0.000 0.500 (multiplicity 2)
Cl2 0.000 0.345 0.500 (multiplicity 4)
O1 0.000 0.168 0.000 (multiplicity 4)

Its crystal system is monoclinic. Its electronic total energy is -5.850 eV/atom. The value obtained for the calculated volume is 23.38 Å³/atom. Its density of states at the Fermi level is 5.62 states/eV/f.u.

=====

No. 2
First-principles (PBE with a Hubbard U) data for an optimized crystal structure of LaCoClO2, as listed in the Alexandria database.

Cell: 6.218 3.821 7.531 Å, 90.00 104.98 90.00°
Space group P2_1/m (No. 11)
Symmetry-distinct sites (fractional):
La1 0.133 0.250 0.231 (multiplicity 2)
Co1 0.406 0.250 0.878 (multiplicity 2)
Cl1 0.243 0.750 0.571 (multiplicity 2)
O1 0.122 0.250 0.898 (multiplicity 2)
O2 0.347 0.750 0.190 (multiplicity 2)

Its crystal system is monoclinic. Its electronic total energy is -6.458 eV/atom. The value obtained for the calculated volume is 17.29 Å³/atom.